1.
A plane-wave DFT calculation with SCAN was carried out for Pr2Al19Co6 at its PBEsol-relaxed geometry.

Symmetry ... C2/m, No. 12
Size of the total moment ... 0.000 μB per atom
Energy relative to the elements ... -0.4830 eV per atom
D(E_F) ... 0.242 states/eV/atom

Cell: 8.1638 10.5977 10.5977 Å, 68.98 78.46 78.46°
Atoms (fractional coordinates):
1 Al 0.0570 0.8108 0.4598
2 Al 0.5351 0.2983 0.0630
3 Al 0.4481 0.5191 0.1857
4 Al 0.3598 0.0803 0.0803
5 Al 0.2343 0.9984 0.4972
6 Al 0.5351 0.0630 0.2983
7 Al 0.0000 0.8296 0.1704
8 Al 0.6474 0.5618 0.3301
9 Al 0.9430 0.1892 0.5402
10 Al 0.6402 0.9197 0.9197
11 Al 0.6383 0.8501 0.2018
12 Al 0.0570 0.4598 0.8108
13 Al 0.9430 0.5402 0.1892
14 Al 0.3526 0.6699 0.4382
15 Al 0.1552 0.5654 0.3311
16 Al 0.5519 0.8143 0.4809
17 Al 0.1552 0.3311 0.5654
18 Al 0.3526 0.4382 0.6699
19 Al 0.2343 0.4972 0.9984
20 Al 0.4649 0.9370 0.7017
21 Al 0.8141 0.0864 0.0864
22 Al 0.6474 0.3301 0.5618
23 Al 0.1859 0.9136 0.9136
24 Al 0.9485 0.7289 0.9534
25 Al 0.4649 0.7017 0.9370
26 Al 0.0515 0.2711 0.0466
27 Al 0.3617 0.7982 0.1499
28 Al 0.7657 0.5028 0.0016
29 Al 0.9485 0.9534 0.7289
30 Al 0.0000 0.1704 0.8296
31 Al 0.7657 0.0016 0.5028
32 Al 0.8448 0.4346 0.6689
33 Al 0.3617 0.1499 0.7982
34 Al 0.4481 0.1857 0.5191
35 Al 0.0515 0.0466 0.2711
36 Al 0.6383 0.2018 0.8501
37 Al 0.8448 0.6689 0.4346
38 Al 0.5519 0.4809 0.8143
39 Co 0.4050 0.4390 0.4390
40 Co 0.6693 0.0836 0.6856
41 Co 0.3307 0.9164 0.3144
42 Co 0.5950 0.5610 0.5610
43 Co 0.9057 0.4386 0.4386
44 Co 0.3307 0.3144 0.9164
45 Co 0.1885 0.6799 0.0796
46 Co 0.8115 0.3201 0.9204
47 Co 0.6693 0.6856 0.0836
48 Co 0.8115 0.9204 0.3201
49 Co 0.1885 0.0796 0.6799
50 Co 0.0943 0.5614 0.5614
51 Pr 0.7735 0.7203 0.7203
52 Pr 0.7456 0.2786 0.2786
53 Pr 0.2265 0.2797 0.2797
54 Pr 0.2544 0.7214 0.7214

---

2.
A plane-wave DFT calculation with SCAN was carried out for Mg2SbBr at its PBEsol-relaxed geometry.

Symmetry ... Pm, No. 6
ΔE_f (raw) ... -700 meV per atom
Relative energy among the computed polymorphs ... 0.0 meV per atom
Size of the total moment ... 0.000 μB per atom
D(E_F) ... 0.128 states/eV/atom

Cell: 4.1795 4.2503 5.5872 Å, 90.00 90.00 90.14°
Atoms (fractional coordinates):
1 Sb 0.5852 0.3791 0.0000
2 Mg 0.6937 0.3689 0.5000
3 Mg 0.0868 0.8790 0.0000
4 Br 0.1342 0.8731 0.5000

---

3.
A plane-wave DFT calculation with SCAN was carried out for RbBa2Hf2 at its PBEsol-relaxed geometry.

Symmetry ... I4/mmm, No. 139
Size of the total moment ... 0.231 μB per atom
Energy relative to the elements ... 0.5990 eV per atom
D(E_F) ... 1.532 states/eV/atom

Cell: 4.0562 4.0562 14.0952 Å, 98.27 98.27 90.00°
Last column: magnetic moment on the atom in μB.
Atoms (fractional coordinates):
1 Ba 0.6395 0.6395 0.2789  0.05
2 Ba 0.3605 0.3605 0.7211  0.05
3 Hf 0.7500 0.2500 0.5000  0.35
4 Hf 0.2500 0.7500 0.5000  0.35
5 Rb 0.0000 0.0000 0.0000  0.00

---

4.
A plane-wave DFT calculation with SCAN was carried out for ZrTlSb2 at its PBEsol-relaxed geometry.

Symmetry ... I-42d, No. 122
ΔE_f (raw) ... 55 meV per atom
Relative energy among the computed polymorphs ... 168.7 meV per atom
Size of the total moment ... 0.000 μB per atom
D(E_F) ... 0.776 states/eV/atom

Cell: 6.6712 6.6712 8.0997 Å, 114.32 114.32 90.00°
Atoms (fractional coordinates):
1 Sb 0.1250 0.1489 0.7500
2 Sb 0.6250 0.6011 0.7500
3 Sb 0.3989 0.8750 0.2500
4 Sb 0.8511 0.3750 0.2500
5 Tl 0.2500 0.7500 0.5000
6 Tl 0.0000 0.0000 0.0000
7 Zr 0.5000 0.5000 0.0000
8 Zr 0.7500 0.2500 0.5000

---

5.
A plane-wave DFT calculation with SCAN was carried out for POsPbO2 at its PBEsol-relaxed geometry.

Symmetry ... P4/mmm, No. 123
ΔE_f (raw) ... -353 meV per atom
Size of the total moment ... 0.000 μB per atom
D(E_F) ... 0.461 states/eV/atom

Cell: 3.8703 3.8703 5.0398 Å, 90.00 90.00 90.00°
Atoms (fractional coordinates):
1 O 0.0000 0.5000 0.0000
2 O 0.5000 0.0000 0.0000
3 Os 0.0000 0.0000 0.0000
4 Pb 0.5000 0.5000 0.5000
5 P 0.0000 0.0000 0.5000

---

6.
A plane-wave DFT calculation with SCAN was carried out for Xe at its PBEsol-relaxed geometry.

Symmetry ... P6_3/mmc, No. 194
Relative energy among the computed polymorphs ... 0.0 meV per atom
Size of the total moment ... 0.000 μB per atom
Energy relative to the elements ... 0.0000 eV per atom
D(E_F) ... 0.000 states/eV/atom

Cell: 4.4261 4.4261 14.9602 Å, 90.00 90.00 120.00°
Atoms (fractional coordinates):
1 Xe 0.0000 0.0000 0.5000
2 Xe 0.3333 0.6667 0.2500
3 Xe 0.6667 0.3333 0.7500
4 Xe 0.0000 0.0000 0.0000

---

7.
A plane-wave DFT calculation with SCAN was carried out for TaSiCl2 at its PBEsol-relaxed geometry.

Symmetry ... Pmmm, No. 47
ΔE_f (raw) ... 261 meV per atom
Relative energy among the computed polymorphs ... 0.0 meV per atom
Size of the total moment ... 0.000 μB per atom
D(E_F) ... 0.544 states/eV/atom

Cell: 2.8999 4.4248 5.1400 Å, 90.00 90.00 90.00°
Atoms (fractional coordinates):
1 Cl 0.0000 0.0000 0.0000
2 Cl 0.5000 0.0000 0.5000
3 Ta 0.0000 0.5000 0.5000
4 Si 0.5000 0.5000 0.0000

---

8.
A plane-wave DFT calculation with SCAN was carried out for MnCoPSe2 at its PBEsol-relaxed geometry.

Symmetry ... P4/mmm, No. 123
ΔE_f (raw) ... 1136 meV per atom
Size of the total moment ... 0.001 μB per atom
D(E_F) ... 0.948 states/eV/atom

Cell: 4.2233 4.4850 4.4850 Å, 90.00 90.00 90.00°
Atoms (fractional coordinates):
1 Mn 0.0000 0.0000 0.0000
2 Co 0.5000 0.0000 0.0000
3 Se 0.0000 0.0000 0.5000
4 Se 0.0000 0.5000 0.0000
5 P 0.5000 0.5000 0.5000

---

9.
A plane-wave DFT calculation with SCAN was carried out for Ba2CoSe2Cl2O6 at its PBEsol-relaxed geometry.

Symmetry ... Pnnm, No. 58
ΔE_f (raw) ... -1890 meV per atom
Size of the total moment ... 0.231 μB per atom
D(E_F) ... 0.000 states/eV/atom

Cell: 5.3378 6.7676 12.4973 Å, 90.00 90.00 90.00°
Last column: magnetic moment on the atom in μB.
Atoms (fractional coordinates):
1 O 0.7438 0.4007 0.6077  0.05
2 O 0.2562 0.4007 0.6077  0.05
3 O 0.7562 0.9007 0.8923  0.05
4 O 0.0000 0.5839 0.8264  0.01
5 O 0.2562 0.5993 0.3923  0.05
6 O 0.5000 0.9161 0.3264  0.01
7 O 0.7438 0.5993 0.3923  0.05
8 O 0.2438 0.0993 0.1077  0.05
9 O 0.2438 0.9007 0.8923  0.05
10 O 0.5000 0.0839 0.6736  0.01
11 O 0.7562 0.0993 0.1077  0.05
12 O 0.0000 0.4161 0.1736  0.01
13 Ba 0.5000 0.6983 0.7314  0.00
14 Ba 0.0000 0.8017 0.2314  0.00
15 Ba 0.5000 0.3017 0.2686  0.00
16 Ba 0.0000 0.1983 0.7686  0.00
17 Cl 0.5000 0.6822 0.1007  0.03
18 Cl 0.0000 0.8178 0.6007  0.03
19 Cl 0.5000 0.3178 0.8993  0.03
20 Cl 0.0000 0.1822 0.3993  0.03
21 Se 0.5000 0.2440 0.5694  0.00
22 Se 0.0000 0.2560 0.0694  0.00
23 Se 0.0000 0.7440 0.9306  0.00
24 Se 0.5000 0.7560 0.4306  0.00
25 Co 0.0000 0.5000 0.5000  2.64
26 Co 0.5000 0.0000 0.0000  2.64

---

10.
A plane-wave DFT calculation with SCAN was carried out for Be2HgPb at its PBEsol-relaxed geometry.

Symmetry ... Cm, No. 8
Relative energy among the computed polymorphs ... 0.0 meV per atom
Size of the total moment ... 0.000 μB per atom
Energy relative to the elements ... 0.2811 eV per atom
D(E_F) ... 0.336 states/eV/atom

Cell: 4.1198 4.1157 5.3196 Å, 91.96 90.00 120.03°
Atoms (fractional coordinates):
1 Pb 0.8778 0.7556 0.2469
2 Be 0.8739 0.7479 0.7461
3 Be 0.2075 0.4150 0.7570
4 Hg 0.5408 0.0815 0.7500

---

11.
A plane-wave DFT calculation with SCAN was carried out for ReAsN2 at its PBEsol-relaxed geometry.

Symmetry ... R-3m, No. 166
ΔE_f (raw) ... 315 meV per atom
Size of the total moment ... 0.000 μB per atom
D(E_F) ... 0.472 states/eV/atom

Cell: 2.8620 2.8620 6.8254 Å, 77.90 77.90 60.00°
Atoms (fractional coordinates):
1 As 0.0000 0.0000 0.0000
2 N 0.8956 0.8956 0.3133
3 N 0.1044 0.1044 0.6867
4 Re 0.5000 0.5000 0.5000

---

12.
A plane-wave DFT calculation with SCAN was carried out for AlZnNi6 at its PBEsol-relaxed geometry.

Symmetry ... Cmmm, No. 65
Size of the total moment ... 0.301 μB per atom
Energy relative to the elements ... -0.2894 eV per atom
D(E_F) ... 0.546 states/eV/atom

Cell: 6.0916 6.0916 9.9603 Å, 90.00 90.00 109.58°
Last column: magnetic moment on the atom in μB.
Atoms (fractional coordinates):
1 Ni 0.3756 0.1254 0.3746  0.49
2 Ni 0.6248 0.8747 0.1246  0.43
3 Ni 0.0000 0.0000 0.0000  0.45
4 Ni 0.5000 0.5000 0.0000  0.41
5 Ni 0.3756 0.1254 0.6254  0.49
6 Ni 0.3752 0.1253 0.8754  0.43
7 Ni 0.5000 0.5000 0.5000  0.48
8 Ni 0.0000 0.0000 0.5000  0.52
9 Ni 0.6244 0.8746 0.3746  0.49
10 Ni 0.8747 0.6248 0.8754  0.43
11 Ni 0.1253 0.3752 0.8754  0.43
12 Ni 0.7493 0.2507 0.2494  0.46
13 Ni 0.1253 0.3752 0.1246  0.43
14 Ni 0.8746 0.6244 0.6254  0.49
15 Ni 0.7493 0.2507 0.7506  0.46
16 Ni 0.8746 0.6244 0.3746  0.49
17 Ni 0.2507 0.7493 0.7506  0.46
18 Ni 0.6248 0.8747 0.8754  0.43
19 Ni 0.8747 0.6248 0.1246  0.43
20 Ni 0.2507 0.7493 0.2494  0.46
21 Ni 0.1254 0.3756 0.3746  0.49
22 Ni 0.6244 0.8746 0.6254  0.49
23 Ni 0.1254 0.3756 0.6254  0.49
24 Ni 0.3752 0.1253 0.1246  0.43
25 Al 0.2506 0.7494 0.0000  -0.01
26 Al 0.7494 0.2506 0.0000  -0.01
27 Al 0.5000 0.5000 0.2501  -0.01
28 Al 0.5000 0.5000 0.7499  -0.01
29 Zn 0.7500 0.2500 0.5000  -0.04
30 Zn 0.0000 0.0000 0.2505  -0.04
31 Zn 0.0000 0.0000 0.7495  -0.04
32 Zn 0.2500 0.7500 0.5000  -0.04

---

13.
A plane-wave DFT calculation with SCAN was carried out for YMoPt at its PBEsol-relaxed geometry.

Symmetry ... F-43m, No. 216
Relative energy among the computed polymorphs ... 0.0 meV per atom
Size of the total moment ... 0.318 μB per atom
Energy relative to the elements ... -0.0212 eV per atom
D(E_F) ... 1.229 states/eV/atom

Cell: 4.5055 4.5055 4.5055 Å, 60.00 60.00 60.00°
Last column: magnetic moment on the atom in μB.
Atoms (fractional coordinates):
1 Mo 0.5000 0.5000 0.5000  0.78
2 Pt 0.2500 0.2500 0.2500  0.09
3 Y 0.0000 0.0000 0.0000  0.02

---

14.
A plane-wave DFT calculation with SCAN was carried out for Ta2InPt at its PBEsol-relaxed geometry.

Symmetry ... P4/mmm, No. 123
Size of the total moment ... 0.000 μB per atom
Energy relative to the elements ... -0.3044 eV per atom
D(E_F) ... 0.567 states/eV/atom

Cell: 2.8573 2.8573 8.4567 Å, 90.00 90.00 90.00°
Atoms (fractional coordinates):
1 Ta 0.0000 0.0000 0.7346
2 Ta 0.0000 0.0000 0.2654
3 In 0.5000 0.5000 0.0000
4 Pt 0.5000 0.5000 0.5000

---

15.
A plane-wave DFT calculation with SCAN was carried out for CdCu2Pt at its PBEsol-relaxed geometry.

Symmetry ... Pmmm, No. 47
Size of the total moment ... 0.000 μB per atom
Energy relative to the elements ... -0.1080 eV per atom
D(E_F) ... 0.302 states/eV/atom

Cell: 2.7837 3.6527 5.5992 Å, 90.00 90.00 90.00°
Atoms (fractional coordinates):
1 Cu 0.0000 0.0000 0.7690
2 Cu 0.0000 0.0000 0.2310
3 Pt 0.5000 0.5000 0.0000
4 Cd 0.5000 0.5000 0.5000

---

16.
A plane-wave DFT calculation with SCAN was carried out for Ba2CdPt at its PBEsol-relaxed geometry.

Symmetry ... P4/mmm, No. 123
Size of the total moment ... 0.000 μB per atom
Energy relative to the elements ... -0.5706 eV per atom
D(E_F) ... 0.489 states/eV/atom

Cell: 3.8879 3.8879 8.1827 Å, 90.00 90.00 90.00°
Atoms (fractional coordinates):
1 Ba 0.0000 0.0000 0.7190
2 Ba 0.0000 0.0000 0.2810
3 Pt 0.5000 0.5000 0.5000
4 Cd 0.5000 0.5000 0.0000

---

17.
A plane-wave DFT calculation with SCAN was carried out for HgTeMoN2 at its PBEsol-relaxed geometry.

Symmetry ... P4/mmm, No. 123
ΔE_f (raw) ... 381 meV per atom
Size of the total moment ... 0.128 μB per atom
D(E_F) ... 0.299 states/eV/atom

Cell: 3.9446 3.9446 5.6335 Å, 90.00 90.00 90.00°
Last column: magnetic moment on the atom in μB.
Atoms (fractional coordinates):
1 N 0.0000 0.5000 0.0000  0.50
2 N 0.5000 0.0000 0.0000  0.50
3 Mo 0.0000 0.0000 0.0000  -0.78
4 Te 0.0000 0.0000 0.5000  0.04
5 Hg 0.5000 0.5000 0.5000  0.00

---

18.
A plane-wave DFT calculation with SCAN was carried out for ScCuMo2 at its PBEsol-relaxed geometry.

Symmetry ... P2/m, No. 10
Relative energy among the computed polymorphs ... 59.8 meV per atom
Size of the total moment ... 0.000 μB per atom
Energy relative to the elements ... 0.2264 eV per atom
D(E_F) ... 0.755 states/eV/atom

Cell: 2.7146 4.7104 4.9521 Å, 90.00 98.66 90.00°
Atoms (fractional coordinates):
1 Mo 0.8141 0.0000 0.7556
2 Mo 0.1859 0.0000 0.2444
3 Cu 0.0000 0.5000 0.5000
4 Sc 0.5000 0.5000 0.0000

---

19.
A plane-wave DFT calculation with SCAN was carried out for TiCo2AsOs at its PBEsol-relaxed geometry.

Symmetry ... P4/mmm, No. 123
Size of the total moment ... 0.821 μB per atom
Energy relative to the elements ... 0.9454 eV per atom
D(E_F) ... 0.781 states/eV/atom

Cell: 4.1168 4.1168 4.5569 Å, 90.00 90.00 90.00°
Last column: magnetic moment on the atom in μB.
Atoms (fractional coordinates):
1 Ti 0.0000 0.0000 0.5000  -0.23
2 Co 0.5000 0.0000 0.0000  1.43
3 Co 0.0000 0.5000 0.0000  1.43
4 Os 0.5000 0.5000 0.5000  1.46
5 As 0.0000 0.0000 0.0000  0.04

---

20.
A plane-wave DFT calculation with SCAN was carried out for CoAg2Au at its PBEsol-relaxed geometry.

Symmetry ... F-43m, No. 216
Relative energy among the computed polymorphs ... 0.0 meV per atom
Size of the total moment ... 0.504 μB per atom
Energy relative to the elements ... 0.1273 eV per atom
D(E_F) ... 0.334 states/eV/atom

Cell: 4.4243 4.4243 4.4243 Å, 60.00 60.00 60.00°
Last column: magnetic moment on the atom in μB.
Atoms (fractional coordinates):
1 Ag 0.2500 0.2500 0.2500  -0.01
2 Ag 0.0000 0.0000 0.0000  -0.01
3 Co 0.7500 0.7500 0.7500  2.00
4 Au 0.5000 0.5000 0.5000  0.01